An optimized crystal structure of NbCrN2O, computed with PBE+U.

Structure (POSCAR):
```
NbCrN2O
1.0
4.121 0.000 0.000
0.000 4.121 0.000
0.000 0.000 3.942
Nb Cr N O
1 1 2 1
direct
0.000 0.000 0.000
0.500 0.500 0.500
0.000 0.500 0.000
0.500 0.000 0.000
0.000 0.000 0.500
```

Output
* E_tot: -8.077 eV per atom
* V: 13.39 Å³/atom
* symmetry: P4/mmm (123)